(1)
BiP2O7 after structural relaxation, computed with PBE.

The space group is P2_1 (No. 4) and the conventional cell measures 5.215, 8.796 and 7.444 Å, with angles of 90.00, 109.03 and 90.00 degrees. The distinct sites, in fractional coordinates, are Bi at (0.215, 0.000, 0.225), P at (0.216, 0.734, 0.604), P at (0.401, 0.315, 0.014), O at (0.038, 0.198, 0.341), O at (0.119, 0.834, 0.427), O at (0.208, 0.451, 0.975), O at (0.264, 0.158, 0.997), O at (0.374, 0.592, 0.583), O at (0.413, 0.811, 0.109) and O at (0.415, 0.842, 0.767).

Its spin magnetization is 0.0 μB per cell. Its formation energy from raw total energies is -1.82 eV/atom. As for the crystal system: monoclinic. For the density of states at the Fermi level, the calculation gives 0.282 states/eV per atom. Its raw total energy is -6.76 eV/atom. For the polymorph energy (0 for the lowest one), the calculation gives 0.0000 eV/atom.

=====

(2)
BiPO4 after structural relaxation, computed with PBE.

The space group is P2_1/c (No. 14) and the conventional cell measures 6.804, 6.815 and 9.056 Å, with angles of 90.00, 126.18 and 90.00 degrees. The distinct sites, in fractional coordinates, are Bi at (0.217, 0.121, 0.255), P at (0.400, 0.644, 0.276), O at (0.013, 0.183, 0.939), O at (0.201, 0.732, 0.069), O at (0.282, 0.032, 0.802) and O at (0.446, 0.679, 0.903).

Its spin magnetization is 0.0 μB per cell. Its formation energy from raw total energies is -1.15 eV/atom. As for the crystal system: monoclinic. For the density of states at the Fermi level, the calculation gives 0.000 states/eV per atom. Its raw total energy is -6.00 eV/atom.

=====

(3)
BiPO4 after structural relaxation, computed with PBE.

The space group is P2_1/c (No. 14) and the conventional cell measures 6.538, 7.035 and 8.224 Å, with angles of 90.00, 126.12 and 90.00 degrees. The distinct sites, in fractional coordinates, are Bi at (0.201, 0.142, 0.285), P at (0.312, 0.662, 0.201), O at (0.140, 0.658, 0.621), O at (0.178, 0.508, 0.240), O at (0.354, 0.599, 0.038) and O at (0.410, 0.204, 0.116).

Its spin magnetization is 0.0 μB per cell. Its formation energy from raw total energies is -1.93 eV/atom. As for the crystal system: monoclinic. For the density of states at the Fermi level, the calculation gives 0.000 states/eV per atom. Its raw total energy is -6.79 eV/atom.

=====

(4)
Bi3P3O14 after structural relaxation, computed with PBE.

The space group is C2 (No. 5) and the conventional cell measures 12.397, 7.145 and 6.487 Å, with angles of 90.00, 90.50 and 90.00 degrees. The distinct sites, in fractional coordinates, are Bi at (0.000, 0.000, 0.000), Bi at (0.246, 0.734, 0.334), P at (0.000, 0.037, 0.500), P at (0.225, 0.716, 0.832), O at (0.013, 0.449, 0.092), O at (0.061, 0.914, 0.340), O at (0.077, 0.160, 0.632), O at (0.126, 0.774, 0.963), O at (0.184, 0.178, 0.006), O at (0.200, 0.540, 0.697) and O at (0.242, 0.369, 0.326).

Its spin magnetization is 4.0 μB per cell. Its formation energy from raw total energies is -1.73 eV/atom. As for the crystal system: monoclinic. For the density of states at the Fermi level, the calculation gives 0.000 states/eV per atom. Its raw total energy is -6.59 eV/atom. For the polymorph energy (0 for the lowest one), the calculation gives 0.0000 eV/atom.

=====

(5)
BiPO4 after structural relaxation, computed with PBE.

The space group is C2/c (No. 15) and the conventional cell measures 11.063, 4.630 and 5.102 Å, with angles of 90.00, 105.64 and 90.00 degrees. The distinct sites, in fractional coordinates, are Bi at (0.000, 0.226, 0.250), P at (0.250, 0.250, 0.000), O at (0.107, 0.377, 0.935) and O at (0.196, 0.032, 0.685).

Its spin magnetization is 0.0 μB per cell. Its formation energy from raw total energies is -1.46 eV/atom. As for the crystal system: monoclinic. For the density of states at the Fermi level, the calculation gives 0.000 states/eV per atom. Its raw total energy is -6.31 eV/atom.

=====

(6)
BiPO after structural relaxation, computed with PBE.

The space group is R3m (No. 160, hexagonal axes) and the conventional cell measures 4.1302, 4.1302 and 14.0086 Å, with angles of 90.00, 90.00 and 120.00 degrees. The distinct sites, in fractional coordinates, are Bi at (0.0000, 0.0000, 0.0000), P at (0.0000, 0.0000, 0.5675) and O at (0.0000, 0.0000, 0.4562).

Its spin magnetization is 0.0 μB per cell. Its formation energy from raw total energies is -0.62 eV/atom. As for the crystal system: trigonal. For the density of states at the Fermi level, the calculation gives 0.107 states/eV per atom. Its raw total energy is -5.37 eV/atom. For the polymorph energy (0 for the lowest one), the calculation gives 0.1795 eV/atom.